(1)
This record from Alexandria via LeMat-Bulk describes a relaxed GdScSnPt crystal. The functional is GGA-PBE.

CIF file:
```
data_GdScSnPt
_cell_length_a 7.120
_cell_length_b 7.120
_cell_length_c 7.120
_cell_angle_alpha 90.00
_cell_angle_beta 90.00
_cell_angle_gamma 90.00
_symmetry_space_group_name_H-M 'F -4 3 m'
_symmetry_Int_Tables_number 216
_symmetry_space_group_name_Hall 'F -4 2 3'
loop_
_atom_site_label
_atom_site_fract_x
_atom_site_fract_y
_atom_site_fract_z
Gd1 0.000 0.000 0.000
Sc1 0.000 0.000 0.500
Sn1 0.250 0.250 0.250
Pt1 0.250 0.250 0.750
```

Summary:
spin magnetization: 28.4 μB per cell
final energy: -8.42 eV per atom
crystal system: cubic
energy relative to the elements: -0.81 eV/atom

---

(2)
This record from Alexandria via LeMat-Bulk describes a relaxed NaBr2F6 crystal. The functional is GGA-PBE.

CIF file:
```
data_NaBr2F6
_cell_length_a 10.364
_cell_length_b 11.999
_cell_length_c 7.291
_cell_angle_alpha 90.00
_cell_angle_beta 128.68
_cell_angle_gamma 90.00
_symmetry_space_group_name_H-M 'C 1 2/c 1'
_symmetry_Int_Tables_number 15
_symmetry_space_group_name_Hall '-C 2yc'
loop_
_atom_site_label
_atom_site_fract_x
_atom_site_fract_y
_atom_site_fract_z
Na1 0.000 0.163 0.250
Br1 0.158 0.448 0.121
F1 0.073 0.308 0.112
F2 0.115 0.107 0.639
F3 0.248 0.410 0.635
```

Summary:
formation energy (no corrections): -1.1927 eV per atom
spin magnetization: 4.1 μB per cell
final energy: -2.96 eV per atom
crystal system: monoclinic

---

(3)
This record from Alexandria via LeMat-Bulk describes a relaxed TeAs2Ir crystal. The functional is GGA-PBE.

CIF file:
```
data_TeAs2Ir
_cell_length_a 4.411
_cell_length_b 4.109
_cell_length_c 5.381
_cell_angle_alpha 90.00
_cell_angle_beta 90.31
_cell_angle_gamma 90.00
_symmetry_space_group_name_H-M 'P 1 m 1'
_symmetry_Int_Tables_number 6
_symmetry_space_group_name_Hall 'P -2y'
loop_
_atom_site_label
_atom_site_fract_x
_atom_site_fract_y
_atom_site_fract_z
Te1 0.000 0.000 0.000
As1 0.334 0.500 0.520
As2 0.708 0.000 0.545
Ir1 0.858 0.500 0.294
```

Summary:
formation energy (no corrections): 0.0491 eV per atom
spin magnetization: 0.0 μB per cell
final energy: -5.28 eV per atom
crystal system: monoclinic

---

(4)
This record from Alexandria via LeMat-Bulk describes a relaxed MgAs2NO crystal. The functional is GGA-PBE.

CIF file:
```
data_MgAs2NO
_cell_length_a 4.324
_cell_length_b 4.324
_cell_length_c 4.119
_cell_angle_alpha 90.00
_cell_angle_beta 90.00
_cell_angle_gamma 90.00
_symmetry_space_group_name_H-M 'P 4/m m m'
_symmetry_Int_Tables_number 123
_symmetry_space_group_name_Hall '-P 4 2'
loop_
_atom_site_label
_atom_site_fract_x
_atom_site_fract_y
_atom_site_fract_z
Mg1 0.000 0.000 0.000
As1 0.000 0.500 0.500
N1 0.000 0.000 0.500
O1 0.500 0.500 0.000
```

Summary:
formation energy (no corrections): 0.5100 eV per atom
spin magnetization: 0.8 μB per cell
final energy: -4.33 eV per atom
crystal system: tetragonal

---

Which of these has the highest spin magnetization? GdScSnPt